The following is a GGA-PBE calculation of a relaxed structure of AlAgBr5, from Alexandria.

Lattice parameters (Å, degrees): 7.6442 7.6442 9.7689 71.87 71.87 100.08
With the nearest neighbours (Å) after each atom.
Fractional positions:
Br 0.0819 0.9181 0.2500  2 Ag 2.62
Al 0.6171 0.3829 0.2500  4 Br 2.29-2.39
Br 0.9181 0.0819 0.7500  2 Ag 2.62
Ag 0.0000 0.0000 0.5000  4 Br 2.62-2.67
Br 0.3380 0.2769 0.8388  1 Al 2.39, 1 Ag 2.67
Br 0.7122 0.2695 0.4520  1 Al 2.29
Br 0.6620 0.7231 0.1612  1 Al 2.39, 1 Ag 2.67
Al 0.3829 0.6171 0.7500  4 Br 2.29-2.39
Br 0.2769 0.3380 0.3388  1 Al 2.39, 1 Ag 2.67
Br 0.2695 0.7122 0.9520  1 Al 2.29
Br 0.7231 0.6620 0.6612  1 Al 2.39, 1 Ag 2.67
Ag 0.0000 0.0000 0.0000  4 Br 2.62-2.67
Br 0.7305 0.2878 0.0480  1 Al 2.29
Br 0.2878 0.7305 0.5480  1 Al 2.29

Calculated values
**Crystal system**: monoclinic
**DOS at the Fermi energy**: 6.56 states/eV/cell
**Space group**: C2/c (15)
**Formation energy (no corrections)**: -0.680 eV per atom

=====

The following is a GGA-PBE calculation of a relaxed structure of Tb6PmYEr2, from Alexandria.

Lattice parameters (Å, degrees): 9.6007 8.7949 8.7949 117.96 93.94 93.94
With the nearest neighbours (Å) after each atom.
Fractional positions:
Tb 0.3168 0.9764 0.4294  3 Tb 3.21-3.59, 2 Er 3.39-3.59, 1 Pm 3.49, 1 Y 3.57
Er 0.9562 0.7000 0.8062  6 Tb 3.26-3.59, 2 Y 3.39, 1 Pm 3.58
Pm 0.2500 0.4073 0.5927  6 Tb 3.41-3.56, 2 Er 3.58
Tb 0.1209 0.7086 0.4974  4 Tb 3.21-3.58, 3 Er 3.26-3.42, 2 Pm 3.41-3.56
Pm 0.7500 0.5927 0.4073  6 Tb 3.41-3.56, 2 Er 3.58
Tb 0.6209 0.4974 0.7086  4 Tb 3.21-3.58, 3 Er 3.26-3.42, 2 Pm 3.41-3.56
Y 0.2500 0.9757 0.0243  4 Er 3.39, 4 Tb 3.57-3.67
Tb 0.1832 0.5706 0.0236  3 Tb 3.21-3.59, 2 Er 3.39-3.59, 1 Pm 3.49, 1 Y 3.57
Tb 0.6832 0.0236 0.5706  3 Tb 3.21-3.59, 2 Er 3.39-3.59, 1 Pm 3.49, 1 Y 3.57
Tb 0.3791 0.5026 0.2914  4 Tb 3.21-3.58, 3 Er 3.26-3.42, 2 Pm 3.41-3.56
Er 0.5438 0.1938 0.3000  6 Tb 3.26-3.59, 2 Y 3.39, 1 Pm 3.58
Tb 0.4446 0.2483 0.8786  7 Tb 3.39-3.76, 1 Er 3.46, 1 Y 3.67
Tb 0.9446 0.8786 0.2483  7 Tb 3.39-3.76, 1 Er 3.46, 1 Y 3.67
Tb 0.0554 0.1214 0.7517  7 Tb 3.39-3.76, 1 Er 3.46, 1 Y 3.67
Tb 0.5554 0.7517 0.1214  7 Tb 3.39-3.76, 1 Er 3.46, 1 Y 3.67
Tb 0.8168 0.4294 0.9764  3 Tb 3.21-3.59, 2 Er 3.39-3.59, 1 Pm 3.49, 1 Y 3.57
Er 0.4562 0.8062 0.7000  6 Tb 3.26-3.59, 2 Y 3.39, 1 Pm 3.58
Y 0.7500 0.0243 0.9757  4 Er 3.39, 4 Tb 3.57-3.67
Er 0.0438 0.3000 0.1938  6 Tb 3.26-3.59, 2 Y 3.39, 1 Pm 3.58
Tb 0.8791 0.2914 0.5026  4 Tb 3.21-3.58, 3 Er 3.26-3.42, 2 Pm 3.41-3.56

Calculated values
**Crystal system**: monoclinic
**Calculated formation energy**: 0.120 eV/atom
**DOS at the Fermi energy**: 29.71 states/eV/cell
**Space group**: C2/c (15)

=====

The following is a GGA-PBE calculation of a relaxed structure of Cs2NaPd, from Alexandria.

Lattice parameters (Å, degrees): 4.7573 4.7573 12.8065 79.30 79.30 60.00
With the nearest neighbours (Å) after each atom.
Fractional positions:
Cs 0.1144 0.1144 0.6569  3 Pd 3.38
Pd 0.5000 0.5000 0.5000  6 Cs 3.38
Cs 0.8856 0.8856 0.3431  3 Pd 3.38
Na 0.0000 0.0000 0.0000  2 Cs 4.29, 6 Na 4.76

Calculated values
**Crystal system**: trigonal
**Calculated formation energy**: 0.222 eV/atom
**DOS at the Fermi energy**: 3.80 states/eV/cell
**Space group**: R-3m (166)

=====

Number 3 is which compound? Cs2NaPd